# 1
# BaAlBi2 | Alexandria via LeMat-Bulk | PBE-GGA | optimized geometry
data_BaAlBi2
_symmetry_space_group_name_H-M 'I -4 2 d'
_symmetry_Int_Tables_number 122
_symmetry_space_group_name_Hall 'I -4 2bw'
_cell_length_a 8.533
_cell_length_b 8.533
_cell_length_c 7.876
_cell_angle_alpha 90.00
_cell_angle_beta 90.00
_cell_angle_gamma 90.00
loop_
_atom_site_label
_atom_site_fract_x
_atom_site_fract_y
_atom_site_fract_z
Ba1 0.000 0.000 0.000
Al1 0.000 0.000 0.500
Bi1 0.178 0.250 0.625
# ΔE_f ... -0.3455 eV/atom

# 2
# Ba2AlBi2 | Alexandria via LeMat-Bulk | PBE-GGA | optimized geometry
data_Ba2AlBi2
_symmetry_space_group_name_H-M 'P 4/m b m'
_symmetry_Int_Tables_number 127
_symmetry_space_group_name_Hall '-P 4 2ab'
_cell_length_a 10.047
_cell_length_b 10.047
_cell_length_c 4.028
_cell_angle_alpha 90.00
_cell_angle_beta 90.00
_cell_angle_gamma 90.00
loop_
_atom_site_label
_atom_site_fract_x
_atom_site_fract_y
_atom_site_fract_z
Ba1 0.134 0.366 0.000
Al1 0.000 0.000 0.000
Bi1 0.167 0.667 0.500
# Offset from the most stable computed form ... 383 meV/atom
# ΔE_f ... -0.2465 eV/atom

# 3
# Ba2AlBi2 | Alexandria via LeMat-Bulk | PBE-GGA | optimized geometry
data_Ba2AlBi2
_symmetry_space_group_name_H-M 'I 4/m m m'
_symmetry_Int_Tables_number 139
_symmetry_space_group_name_Hall '-I 4 2'
_cell_length_a 4.527
_cell_length_b 4.527
_cell_length_c 20.153
_cell_angle_alpha 90.00
_cell_angle_beta 90.00
_cell_angle_gamma 90.00
loop_
_atom_site_label
_atom_site_fract_x
_atom_site_fract_y
_atom_site_fract_z
Ba1 0.000 0.000 0.103
Al1 0.000 0.000 0.500
Bi1 0.000 0.500 0.250
# Offset from the most stable computed form ... 413 meV/atom
# ΔE_f ... -0.2167 eV/atom

# 4
# Ba3Al2Bi4 | Alexandria via LeMat-Bulk | PBE-GGA | optimized geometry
data_Ba3Al2Bi4
_symmetry_space_group_name_H-M 'C 1 2/c 1'
_symmetry_Int_Tables_number 15
_cell_length_a 16.775
_cell_length_b 10.175
_cell_length_c 8.311
_cell_angle_alpha 90.00
_cell_angle_beta 97.09
_cell_angle_gamma 90.00
loop_
_symmetry_equiv_pos_as_xyz
'x,y,z'
'-x,-y,-z'
'-x,y,-z+1/2'
'x,-y,z+1/2'
'x+1/2,y+1/2,z'
'-x+1/2,-y+1/2,-z'
'-x+1/2,y+1/2,-z+1/2'
'x+1/2,-y+1/2,z+1/2'
loop_
_atom_site_label
_atom_site_fract_x
_atom_site_fract_y
_atom_site_fract_z
Ba1 0.000 0.030 0.250
Ba2 0.138 0.411 0.349
Al1 0.190 0.161 0.984
Bi1 0.035 0.284 0.941
Bi2 0.210 0.084 0.324
# Offset from the most stable computed form ... 86 meV/atom
# ΔE_f ... -0.4931 eV/atom

# 5
# BaAlBi | Alexandria via LeMat-Bulk | PBE-GGA | optimized geometry
data_BaAlBi
_symmetry_space_group_name_H-M 'C 1 2/m 1'
_symmetry_Int_Tables_number 12
_cell_length_a 13.073
_cell_length_b 4.642
_cell_length_c 7.548
_cell_angle_alpha 90.00
_cell_angle_beta 92.71
_cell_angle_gamma 90.00
loop_
_symmetry_equiv_pos_as_xyz
'x,y,z'
'-x,-y,-z'
'-x,y,-z'
'x,-y,z'
'x+1/2,y+1/2,z'
'-x+1/2,-y+1/2,-z'
'-x+1/2,y+1/2,-z'
'x+1/2,-y+1/2,z'
loop_
_atom_site_label
_atom_site_fract_x
_atom_site_fract_y
_atom_site_fract_z
Ba1 0.140 0.000 0.261
Al1 0.081 0.500 0.596
Bi1 0.146 0.000 0.777
# Offset from the most stable computed form ... 0 meV/atom
# ΔE_f ... -0.4666 eV/atom

# 6
# Ba3Al2Bi4 | Alexandria via LeMat-Bulk | PBE-GGA | optimized geometry
data_Ba3Al2Bi4
_symmetry_space_group_name_H-M 'C 1 2/c 1'
_symmetry_Int_Tables_number 15
_cell_length_a 14.591
_cell_length_b 11.683
_cell_length_c 8.419
_cell_angle_alpha 90.00
_cell_angle_beta 97.82
_cell_angle_gamma 90.00
loop_
_symmetry_equiv_pos_as_xyz
'x,y,z'
'-x,-y,-z'
'-x,y,-z+1/2'
'x,-y,z+1/2'
'x+1/2,y+1/2,z'
'-x+1/2,-y+1/2,-z'
'-x+1/2,y+1/2,-z+1/2'
'x+1/2,-y+1/2,z+1/2'
loop_
_atom_site_label
_atom_site_fract_x
_atom_site_fract_y
_atom_site_fract_z
Ba1 0.000 0.096 0.250
Ba2 0.145 0.383 0.629
Al1 0.204 0.125 0.938
Bi1 0.105 0.314 0.030
Bi2 0.167 0.079 0.602
# Offset from the most stable computed form ... 0 meV/atom
# ΔE_f ... -0.5786 eV/atom

# 7
# Ba2AlBi2 | Alexandria via LeMat-Bulk | PBE-GGA | optimized geometry
data_Ba2AlBi2
_symmetry_space_group_name_H-M 'P 4/m b m'
_symmetry_Int_Tables_number 127
_symmetry_space_group_name_Hall '-P 4 2ab'
_cell_length_a 8.538
_cell_length_b 8.538
_cell_length_c 5.215
_cell_angle_alpha 90.00
_cell_angle_beta 90.00
_cell_angle_gamma 90.00
loop_
_atom_site_label
_atom_site_fract_x
_atom_site_fract_y
_atom_site_fract_z
Ba1 0.176 0.324 0.000
Al1 0.000 0.000 0.500
Bi1 0.128 0.628 0.500
# Offset from the most stable computed form ... 120 meV/atom
# ΔE_f ... -0.5100 eV/atom

# 8
# BaAlBi | Alexandria via LeMat-Bulk | PBE-GGA | optimized geometry
data_BaAlBi
_symmetry_space_group_name_H-M 'P 3 m 1'
_symmetry_Int_Tables_number 156
_cell_length_a 4.7425
_cell_length_b 4.7425
_cell_length_c 5.4662
_cell_angle_alpha 90.00
_cell_angle_beta 90.00
_cell_angle_gamma 120.00
loop_
_symmetry_equiv_pos_as_xyz
'x,y,z'
'-y,x-y,z'
'-x+y,-x,z'
'-y,-x,z'
'-x+y,y,z'
'x,x-y,z'
loop_
_atom_site_label
_atom_site_fract_x
_atom_site_fract_y
_atom_site_fract_z
Ba1 0.0000 0.0000 0.0000
Al1 0.6667 0.3333 0.3690
Bi1 0.3333 0.6667 0.5619
# Offset from the most stable computed form ... 27 meV/atom
# ΔE_f ... -0.4395 eV/atom

# 9
# BaAl2Bi2 | Alexandria via LeMat-Bulk | PBE-GGA | optimized geometry
data_BaAl2Bi2
_symmetry_space_group_name_H-M 'P 4/m b m'
_symmetry_Int_Tables_number 127
_symmetry_space_group_name_Hall '-P 4 2ab'
_cell_length_a 8.865
_cell_length_b 8.865
_cell_length_c 4.028
_cell_angle_alpha 90.00
_cell_angle_beta 90.00
_cell_angle_gamma 90.00
loop_
_atom_site_label
_atom_site_fract_x
_atom_site_fract_y
_atom_site_fract_z
Ba1 0.000 0.000 0.000
Al1 0.134 0.366 0.500
Bi1 0.131 0.631 0.000
# ΔE_f ... -0.0187 eV/atom

# 10
# BaAl2Bi2 | Alexandria via LeMat-Bulk | PBE-GGA | optimized geometry
data_BaAl2Bi2
_symmetry_space_group_name_H-M 'I 4/m m m'
_symmetry_Int_Tables_number 139
_symmetry_space_group_name_Hall '-I 4 2'
_cell_length_a 5.498
_cell_length_b 5.498
_cell_length_c 10.175
_cell_angle_alpha 90.00
_cell_angle_beta 90.00
_cell_angle_gamma 90.00
loop_
_atom_site_label
_atom_site_fract_x
_atom_site_fract_y
_atom_site_fract_z
Ba1 0.000 0.000 0.000
Al1 0.000 0.000 0.369
Bi1 0.000 0.500 0.250
# ΔE_f ... -0.2776 eV/atom

# 11
# Ba3AlBi3 | Alexandria via LeMat-Bulk | PBE-GGA | optimized geometry
data_Ba3AlBi3
_symmetry_space_group_name_H-M 'C m c e'
_symmetry_Int_Tables_number 64
_symmetry_space_group_name_Hall '-C 2ac 2'
_cell_length_a 21.832
_cell_length_b 7.398
_cell_length_c 14.526
_cell_angle_alpha 90.00
_cell_angle_beta 90.00
_cell_angle_gamma 90.00
loop_
_atom_site_label
_atom_site_fract_x
_atom_site_fract_y
_atom_site_fract_z
Ba1 0.000 0.191 0.144
Ba2 0.174 0.199 0.872
Al1 0.086 0.000 0.500
Bi1 0.000 0.205 0.395
Bi2 0.160 0.205 0.622
# ΔE_f ... -0.7694 eV/atom

# 12
# BaAl2Bi2 | Alexandria via LeMat-Bulk | PBE-GGA | optimized geometry
data_BaAl2Bi2
_symmetry_space_group_name_H-M 'P 4/m b m'
_symmetry_Int_Tables_number 127
_symmetry_space_group_name_Hall '-P 4 2ab'
_cell_length_a 8.548
_cell_length_b 8.548
_cell_length_c 4.033
_cell_angle_alpha 90.00
_cell_angle_beta 90.00
_cell_angle_gamma 90.00
loop_
_atom_site_label
_atom_site_fract_x
_atom_site_fract_y
_atom_site_fract_z
Ba1 0.000 0.000 0.000
Al1 0.113 0.387 0.000
Bi1 0.166 0.666 0.500
# ΔE_f ... -0.1521 eV/atom

# 13
# Ba2AlBi2 | Alexandria via LeMat-Bulk | PBE-GGA | optimized geometry
data_Ba2AlBi2
_symmetry_space_group_name_H-M 'C 1 2/c 1'
_symmetry_Int_Tables_number 15
_cell_length_a 10.409
_cell_length_b 14.658
_cell_length_c 7.284
_cell_angle_alpha 90.00
_cell_angle_beta 134.40
_cell_angle_gamma 90.00
loop_
_symmetry_equiv_pos_as_xyz
'x,y,z'
'-x,-y,-z'
'-x,y,-z+1/2'
'x,-y,z+1/2'
'x+1/2,y+1/2,z'
'-x+1/2,-y+1/2,-z'
'-x+1/2,y+1/2,-z+1/2'
'x+1/2,-y+1/2,z+1/2'
loop_
_atom_site_label
_atom_site_fract_x
_atom_site_fract_y
_atom_site_fract_z
Ba1 0.200 0.137 0.200
Al1 0.000 0.500 0.250
Bi1 0.210 0.384 0.210
# Offset from the most stable computed form ... 0 meV/atom
# ΔE_f ... -0.6297 eV/atom

# 14
# BaAlBi2 | Alexandria via LeMat-Bulk | PBE-GGA | optimized geometry
data_BaAlBi2
_symmetry_space_group_name_H-M 'P 1 2/c 1'
_symmetry_Int_Tables_number 13
_cell_length_a 6.934
_cell_length_b 7.307
_cell_length_c 12.991
_cell_angle_alpha 90.00
_cell_angle_beta 114.56
_cell_angle_gamma 90.00
loop_
_symmetry_equiv_pos_as_xyz
'x,y,z'
'-x,-y,-z'
'-x,y,-z+1/2'
'x,-y,z+1/2'
loop_
_atom_site_label
_atom_site_fract_x
_atom_site_fract_y
_atom_site_fract_z
Ba1 0.176 0.243 0.131
Al1 0.289 0.089 0.888
Bi1 0.132 0.255 0.672
Bi2 0.376 0.284 0.445
# ΔE_f ... -0.3800 eV/atom

# 15
# Ba2AlBi5 | Alexandria via LeMat-Bulk | PBE-GGA | optimized geometry
data_Ba2AlBi5
_symmetry_space_group_name_H-M 'C 1 m 1'
_symmetry_Int_Tables_number 8
_cell_length_a 10.401
_cell_length_b 10.471
_cell_length_c 7.361
_cell_angle_alpha 90.00
_cell_angle_beta 134.86
_cell_angle_gamma 90.00
loop_
_symmetry_equiv_pos_as_xyz
'x,y,z'
'x,-y,z'
'x+1/2,y+1/2,z'
'x+1/2,-y+1/2,z'
loop_
_atom_site_label
_atom_site_fract_x
_atom_site_fract_y
_atom_site_fract_z
Ba1 0.000 0.250 0.000
Al1 0.412 0.000 0.500
Bi1 0.225 0.500 0.500
Bi2 0.229 0.000 0.960
Bi3 0.269 0.500 0.040
Bi4 0.499 0.269 0.500
# ΔE_f ... -0.3892 eV/atom

# 16
# BaAl2Bi | Alexandria via LeMat-Bulk | PBE-GGA | optimized geometry
data_BaAl2Bi
_symmetry_space_group_name_H-M 'I -4 2 d'
_symmetry_Int_Tables_number 122
_symmetry_space_group_name_Hall 'I -4 2bw'
_cell_length_a 8.765
_cell_length_b 8.765
_cell_length_c 6.867
_cell_angle_alpha 90.00
_cell_angle_beta 90.00
_cell_angle_gamma 90.00
loop_
_atom_site_label
_atom_site_fract_x
_atom_site_fract_y
_atom_site_fract_z
Ba1 0.000 0.000 0.000
Al1 0.201 0.250 0.625
Bi1 0.000 0.000 0.500
# ΔE_f ... -0.0033 eV/atom

# 17
# BaAlBi2Br | Alexandria via LeMat-Bulk | PBE-GGA | optimized geometry
data_BaAlBi2Br
_symmetry_space_group_name_H-M 'P 4/m m m'
_symmetry_Int_Tables_number 123
_symmetry_space_group_name_Hall '-P 4 2'
_cell_length_a 6.648
_cell_length_b 6.648
_cell_length_c 6.090
_cell_angle_alpha 90.00
_cell_angle_beta 90.00
_cell_angle_gamma 90.00
loop_
_atom_site_label
_atom_site_fract_x
_atom_site_fract_y
_atom_site_fract_z
Ba1 0.000 0.000 0.000
Al1 0.500 0.500 0.500
Bi1 0.000 0.500 0.000
Br1 0.000 0.000 0.500
# Raw formation energy ... 2.068 eV/f.u.

# 18
# BaCaAl2Bi | Alexandria via LeMat-Bulk | PBE-GGA | optimized geometry
data_BaCaAl2Bi
_symmetry_space_group_name_H-M 'P 4/m m m'
_symmetry_Int_Tables_number 123
_symmetry_space_group_name_Hall '-P 4 2'
_cell_length_a 5.786
_cell_length_b 5.786
_cell_length_c 6.272
_cell_angle_alpha 90.00
_cell_angle_beta 90.00
_cell_angle_gamma 90.00
loop_
_atom_site_label
_atom_site_fract_x
_atom_site_fract_y
_atom_site_fract_z
Ba1 0.000 0.000 0.000
Ca1 0.000 0.000 0.500
Al1 0.000 0.500 0.000
Bi1 0.500 0.500 0.500
# ΔE_f ... 1.1127 eV/atom

# 19
# BaAlCrBi2 | Alexandria via LeMat-Bulk | PBE-GGA | optimized geometry
data_BaAlCrBi2
_symmetry_space_group_name_H-M 'P 4/m m m'
_symmetry_Int_Tables_number 123
_symmetry_space_group_name_Hall '-P 4 2'
_cell_length_a 5.502
_cell_length_b 5.502
_cell_length_c 6.071
_cell_angle_alpha 90.00
_cell_angle_beta 90.00
_cell_angle_gamma 90.00
loop_
_atom_site_label
_atom_site_fract_x
_atom_site_fract_y
_atom_site_fract_z
Ba1 0.000 0.000 0.000
Al1 0.000 0.000 0.500
Cr1 0.500 0.500 0.000
Bi1 0.000 0.500 0.500
# ΔE_f ... 0.5898 eV/atom

# 20
# Cs2BaAlBi2 | Alexandria via LeMat-Bulk | PBE-GGA | optimized geometry
data_Cs2BaAlBi2
_symmetry_space_group_name_H-M 'P m c 21'
_symmetry_Int_Tables_number 26
_cell_length_a 5.030
_cell_length_b 10.646
_cell_length_c 9.999
_cell_angle_alpha 90.00
_cell_angle_beta 90.00
_cell_angle_gamma 90.00
loop_
_symmetry_equiv_pos_as_xyz
'x,y,z'
'-x,-y,z+1/2'
'-x,y,z'
'x,-y,z+1/2'
loop_
_atom_site_label
_atom_site_fract_x
_atom_site_fract_y
_atom_site_fract_z
Cs1 0.000 0.099 0.000
Cs2 0.500 0.170 0.336
Ba1 0.500 0.475 0.954
Al1 0.000 0.334 0.651
Bi1 0.000 0.411 0.218
Bi2 0.500 0.204 0.714
# ΔE_f ... -0.4229 eV/atom

| no. | uncorrected energy (eV/atom) |
| --- | --- |
| 1 | -3.70 |
| 2 | -3.32 |
| 3 | -3.29 |
| 4 | -3.69 |
| 5 | -3.65 |
| 6 | -3.78 |
| 7 | -3.58 |
| 8 | -3.62 |
| 9 | -3.45 |
| 10 | -3.71 |
| 11 | -3.79 |
| 12 | -3.59 |
| 13 | -3.70 |
| 14 | -3.74 |
| 15 | -3.76 |
| 16 | -3.33 |
| 17 | -2.61 |
| 18 | -1.95 |
| 19 | -4.02 |
| 20 | -2.95 |